(1)
Here is a geometry-optimized Np5Ti2S12 structure from Alexandria. Energies are from PBE-GGA.

Unit cell a=6.861 b=8.317 c=8.528 alpha=105.37 beta=90.00 gamma=114.36
Site moments in Bohr magnetons follow the coordinates.
Atoms (fractional coordinates):
1 S 0.998 0.997 0.192  -0.08
2 Ti 0.255 0.000 0.000  0.56
3 Np 0.316 0.632 0.159  3.65
4 S 0.002 0.003 0.808  -0.08
5 Np 0.000 0.000 0.500  3.61
6 S 0.418 0.336 0.087  -0.11
7 S 0.504 0.008 0.216  -0.07
8 Np 0.302 0.605 0.652  3.63
9 S 0.901 0.300 0.569  -0.12
10 S 0.496 0.992 0.784  -0.07
11 S 0.082 0.664 0.913  -0.11
12 S 0.918 0.336 0.087  -0.11
13 Np 0.684 0.368 0.841  3.65
14 S 0.399 0.300 0.569  -0.12
15 S 0.099 0.700 0.431  -0.12
16 Np 0.698 0.395 0.348  3.63
17 S 0.601 0.700 0.431  -0.12
18 Ti 0.745 0.000 0.000  0.56
19 S 0.582 0.664 0.913  -0.11

Output
Density of states at the Fermi level = 43.47 states/eV/f.u.
Uncorrected formation energy = -132 kJ/mol of atoms
Calculated volume = 424 Å³/cell
Space-group type = C2/m (12)

---

(2)
Here is a geometry-optimized NpTi2Tl3S6 structure from Alexandria. Energies are from PBE-GGA.

Unit cell a=6.377 b=6.377 c=8.232 alpha=97.71 beta=97.71 gamma=120.09
Site moments in Bohr magnetons follow the coordinates.
Atoms (fractional coordinates):
1 S 0.937 0.581 0.819  -0.05
2 S 0.419 0.063 0.181  -0.05
3 Tl 0.837 0.163 0.500  0.02
4 S 0.705 0.705 0.179  -0.05
5 S 0.063 0.419 0.181  -0.05
6 S 0.295 0.295 0.821  -0.05
7 Tl 0.500 0.500 0.500  0.02
8 Np 0.000 0.000 0.000  3.55
9 Ti 0.667 0.333 0.000  0.74
10 Ti 0.333 0.667 0.000  0.74
11 Tl 0.163 0.837 0.500  0.02
12 S 0.581 0.937 0.819  -0.05

Output
Density of states at the Fermi level = 14.50 states/eV/f.u.
Uncorrected formation energy = -95 kJ/mol of atoms
Calculated volume = 279 Å³/cell
Space-group type = C2/m (12)

---

(3)
Here is a geometry-optimized NpTl3S4 structure from Alexandria. Energies are from PBE-GGA.

Unit cell a=5.838 b=5.838 c=7.898 alpha=111.69 beta=111.69 gamma=90.00
Site moments in Bohr magnetons follow the coordinates.
Atoms (fractional coordinates):
1 S 0.000 0.500 0.000  -0.11
2 Tl 0.500 0.500 0.000  -0.02
3 Tl 0.250 0.750 0.500  -0.04
4 S 0.186 0.186 0.372  -0.15
5 Tl 0.750 0.250 0.500  -0.04
6 S 0.814 0.814 0.628  -0.15
7 S 0.500 0.000 0.000  -0.11
8 Np 0.000 0.000 0.000  3.05

Output
Density of states at the Fermi level = 8.86 states/eV/f.u.
Uncorrected formation energy = -56 kJ/mol of atoms
ΔE to the lowest computed polymorph = 137 meV/atom
Calculated volume = 229 Å³/cell
Space-group type = I4/mmm (139)

---

(4)
Here is a geometry-optimized Np6TlS12 structure from Alexandria. Energies are from PBE-GGA.

Unit cell a=8.040 b=8.040 c=8.040 alpha=105.20 beta=105.20 gamma=105.20
Site moments in Bohr magnetons follow the coordinates.
Atoms (fractional coordinates):
1 S 0.131 0.500 0.869  -0.15
2 S 0.442 0.442 0.183  -0.19
3 S 0.558 0.558 0.817  -0.19
4 S 0.131 0.869 0.500  -0.15
5 Np 0.655 0.247 0.247  3.41
6 S 0.500 0.869 0.131  -0.15
7 Tl 0.000 0.000 0.000  0.06
8 Np 0.247 0.247 0.655  3.41
9 S 0.869 0.131 0.500  -0.15
10 Np 0.753 0.753 0.345  3.41
11 S 0.442 0.183 0.442  -0.19
12 S 0.869 0.500 0.131  -0.15
13 S 0.817 0.558 0.558  -0.19
14 S 0.500 0.131 0.869  -0.15
15 Np 0.247 0.655 0.247  3.41
16 Np 0.753 0.345 0.753  3.41
17 S 0.558 0.817 0.558  -0.19
18 Np 0.345 0.753 0.753  3.41
19 S 0.183 0.442 0.442  -0.19

Output
Density of states at the Fermi level = 47.88 states/eV/f.u.
Uncorrected formation energy = -107 kJ/mol of atoms
Calculated volume = 452 Å³/cell
Space-group type = R-3m (166)

---

(5)
Here is a geometry-optimized NpTlS3 structure from Alexandria. Energies are from PBE-GGA.

Unit cell a=6.997 b=6.997 c=7.852 alpha=63.54 beta=63.54 gamma=60.00
Site moments in Bohr magnetons follow the coordinates.
Atoms (fractional coordinates):
1 S 0.078 0.584 0.755  -0.16
2 Tl 0.126 0.126 0.621  -0.01
3 S 0.583 0.078 0.755  -0.16
4 S 0.417 0.416 0.245  -0.16
5 Np 0.665 0.665 0.006  2.61
6 S 0.416 0.922 0.245  -0.16
7 Tl 0.874 0.874 0.379  -0.01
8 S 0.922 0.417 0.245  -0.16
9 Np 0.335 0.335 0.994  2.61
10 S 0.584 0.583 0.755  -0.16

Output
Density of states at the Fermi level = 6.28 states/eV/f.u.
Uncorrected formation energy = -79 kJ/mol of atoms
ΔE to the lowest computed polymorph = 30 meV/atom
Calculated volume = 285 Å³/cell
Space-group type = R-3m (166)

---

(6)
Here is a geometry-optimized Np2TlS4 structure from Alexandria. Energies are from PBE-GGA.

Unit cell a=8.353 b=8.355 c=8.353 alpha=119.95 beta=119.96 gamma=90.07
Site moments in Bohr magnetons follow the coordinates.
Atoms (fractional coordinates):
1 S 0.434 0.145 0.290  -0.11
2 S 0.395 0.184 0.790  -0.11
3 S 0.855 0.145 0.710  -0.11
4 S 0.395 0.605 0.790  -0.11
5 Np 0.625 0.875 0.250  3.61
6 S 0.855 0.145 0.290  -0.11
7 S 0.395 0.605 0.210  -0.11
8 Tl 0.000 0.000 0.000  -0.02
9 S 0.855 0.566 0.710  -0.11
10 Np 0.625 0.375 0.750  3.61
11 S 0.816 0.605 0.210  -0.11
12 Np 0.125 0.375 0.750  3.61
13 Np 0.625 0.375 0.250  3.61
14 Tl 0.250 0.750 0.500  -0.02

Output
Density of states at the Fermi level = 19.19 states/eV/f.u.
Uncorrected formation energy = -107 kJ/mol of atoms
ΔE to the lowest computed polymorph = 0 meV/atom
Calculated volume = 412 Å³/cell
Space-group type = I4_1/amd (141)